Here is CeAs4Rh6 after structural relaxation from Alexandria via LeMat-Bulk. Energies are from PBE.

Its calculated total energy is -6.929 eV per atom. The value obtained for the energy relative to the elements is -0.69 eV/atom.

It has space group P-6m2 (No. 187), with a = 7.2458 Å, b = 7.2458 Å, c = 3.8925 Å, α = 90.00°, β = 90.00° and γ = 120.00°. The distinct sites, in fractional coordinates, are Ce at (0.0000, 0.0000, 0.0000), As at (0.3333, 0.6667, 0.0000), As at (0.3829, 0.1914, 0.5000), Rh at (0.1976, 0.3951, 0.5000) and Rh at (0.5329, 0.0657, 0.0000).